[1]
DFT (PBE) results for crystalline Er6CdGa2 at its relaxed geometry.

## Properties
* calculated formation energy: -0.37 eV per atom

a b c (Å): 9.548 9.595 10.447
angles (deg): 90.00 90.00 90.00
Space group Immm (No. 71)
One atom of each set of equivalent atoms:
Er  0.000  0.204  0.179 [8 per cell]
Er  0.183  0.223  0.500 [8 per cell]
Er  0.201  0.500  0.256 [8 per cell]
Cd  0.000  0.500  0.000 [2 per cell]
Cd  0.000  0.500  0.500 [2 per cell]
Ga  0.000  0.000  0.378 [4 per cell]
Ga  0.148  0.000  0.000 [4 per cell]


[2]
DFT (PBE) results for crystalline HfAgHg at its relaxed geometry.

## Properties
* calculated formation energy: 0.01 eV per atom
* distance to the lowest polymorph of the same formula: 41.1 meV/atom

a b c (Å): 4.8189 4.8189 2.9639
angles (deg): 90.00 90.00 120.00
Space group P-6m2 (No. 187)
One atom of each set of equivalent atoms:
Hf  0.0000  0.0000  0.0000 [1 per cell]
Ag  0.6667  0.3333  0.5000 [1 per cell]
Hg  0.3333  0.6667  0.5000 [1 per cell]


DOS(E_F) (states/eV/f.u.)
5.585, 1.584
Total energy (eV/atom)
-4.19, -4.36